The following is a SCAN calculation of a crystal of RbMg5 relaxed with PBEsol, from the Alexandria database.

The structure in POSCAR format:
```
RbMg5
1.0
3.6205 0.0000 0.0000
0.0000 3.6205 0.0000
0.0000 0.0000 13.0185
Rb Mg
1 5
direct
0.0000 0.0000 0.0000
0.0000 0.0000 0.3666
0.0000 0.0000 0.6334
0.5000 0.5000 0.2322
0.5000 0.5000 0.5000
0.5000 0.5000 0.7678
```

Computed properties:
- Density of states at the Fermi level: 0.54 states/eV/atom
- E_form: 142.0 meV/atom
- Size of the total moment: 0.29 μB/f.u.
- Symmetry: P4/mmm (123)
- V: 170.7 Å³/cell